A relaxed Al2HgAsO6 crystal, computed with GGA-PBE.

**Uncorrected formation energy**: -1786 meV per atom
**Volume**: 13.018 Å³ per atom
**Space group**: No. 15
**Calculated total energy**: -6.005 eV per atom

Unit cell a=6.216 b=6.777 c=6.777 alpha=99.56 beta=75.78 gamma=75.78
Element x y z (fractional)
Hg (0.250, 0.896, 0.104)
Hg (0.750, 0.104, 0.896)
O (0.056, 0.659, 0.571)
O (0.567, 0.152, 0.643)
O (0.288, 0.228, 0.045)
O (0.212, 0.955, 0.772)
O (0.944, 0.341, 0.429)
O (0.933, 0.357, 0.848)
O (0.556, 0.571, 0.659)
O (0.444, 0.429, 0.341)
O (0.433, 0.848, 0.357)
O (0.788, 0.045, 0.228)
O (0.067, 0.643, 0.152)
O (0.712, 0.772, 0.955)
As (0.750, 0.790, 0.210)
As (0.250, 0.210, 0.790)
Al (0.164, 0.446, 0.299)
Al (0.836, 0.554, 0.701)
Al (0.664, 0.299, 0.446)
Al (0.336, 0.701, 0.554)

=====

A relaxed AlHgAs2Se crystal, computed with GGA-PBE.

**Uncorrected formation energy**: 977 meV per atom
**Volume**: 29.352 Å³ per atom
**Space group**: No. 123
**Calculated total energy**: -2.389 eV per atom

Unit cell a=5.208 b=5.208 c=5.411 alpha=90.00 beta=90.00 gamma=90.00
Element x y z (fractional)
As (0.500, 0.000, 0.000)
As (0.000, 0.500, 0.000)
Se (0.000, 0.000, 0.500)
Al (0.500, 0.500, 0.500)
Hg (0.000, 0.000, 0.000)

=====

A relaxed AlHgAs2Se crystal, computed with GGA-PBE.

**Uncorrected formation energy**: 414 meV per atom
**Volume**: 24.065 Å³ per atom
**Space group**: No. 123
**Calculated total energy**: -2.951 eV per atom

Unit cell a=4.980 b=4.980 c=4.852 alpha=90.00 beta=90.00 gamma=90.00
Element x y z (fractional)
Hg (0.500, 0.500, 0.500)
As (0.000, 0.500, 0.000)
As (0.500, 0.000, 0.000)
Se (0.000, 0.000, 0.500)
Al (0.000, 0.000, 0.000)

=====

A relaxed Sr3Al2Hg4As2 crystal, computed with GGA-PBE.

**Volume**: 30.308 Å³ per atom
**Space group**: No. 139
**Calculated total energy**: -2.519 eV per atom

Unit cell a=4.724 b=4.724 c=15.308 alpha=98.88 beta=98.88 gamma=90.00
Element x y z (fractional)
Al (0.623, 0.623, 0.245)
Al (0.377, 0.377, 0.755)
Hg (0.581, 0.081, 0.161)
Hg (0.919, 0.419, 0.839)
Hg (0.419, 0.919, 0.839)
Hg (0.081, 0.581, 0.161)
Sr (0.805, 0.805, 0.610)
Sr (0.000, 0.000, 0.000)
Sr (0.195, 0.195, 0.390)
As (0.701, 0.701, 0.403)
As (0.299, 0.299, 0.597)

=====

A relaxed AlZn2HgAs crystal, computed with GGA-PBE.

**Volume**: 26.547 Å³ per atom
**Space group**: No. 123
**Calculated total energy**: -1.552 eV per atom

Unit cell a=4.941 b=5.437 c=4.941 alpha=90.00 beta=90.00 gamma=90.00
Element x y z (fractional)
Zn (0.500, 0.000, 0.000)
Zn (0.000, 0.000, 0.500)
Al (0.500, 0.500, 0.500)
Hg (0.000, 0.000, 0.000)
As (0.000, 0.500, 0.000)

=====

A relaxed HoAlAs crystal, computed with GGA-PBE.

**Volume**: 24.768 Å³ per atom
**Space group**: No. 166
**Calculated total energy**: -4.995 eV per atom

Unit cell a=4.691 b=4.691 c=8.255 alpha=73.49 beta=73.49 gamma=60.00
Element x y z (fractional)
As (0.284, 0.284, 0.149)
As (0.716, 0.716, 0.851)
Al (0.823, 0.823, 0.530)
Al (0.177, 0.177, 0.470)
Ho (0.588, 0.588, 0.236)
Ho (0.412, 0.412, 0.764)

=====

A relaxed Ho2AlAs crystal, computed with GGA-PBE.

**Volume**: 25.630 Å³ per atom
**Space group**: No. 166
**Calculated total energy**: -5.171 eV per atom

Unit cell a=3.937 b=3.937 c=7.970 alpha=75.70 beta=75.70 gamma=60.00
Element x y z (fractional)
As (0.000, 0.000, 0.000)
Ho (0.260, 0.260, 0.221)
Ho (0.740, 0.740, 0.779)
Al (0.500, 0.500, 0.500)

=====

A relaxed Ho6AlAs2Se3 crystal, computed with GGA-PBE.

**Uncorrected formation energy**: -1439 meV per atom
**Volume**: 24.549 Å³ per atom
**Space group**: No. 12
**Calculated total energy**: -5.686 eV per atom

Unit cell a=4.047 b=8.326 c=9.215 alpha=103.13 beta=102.68 gamma=90.00
Element x y z (fractional)
Se (0.831, 0.169, 0.663)
Se (0.500, 0.500, 0.000)
Se (0.169, 0.831, 0.337)
Ho (0.002, 0.252, 0.003)
Ho (0.998, 0.748, 0.997)
Ho (0.670, 0.577, 0.341)
Ho (0.330, 0.423, 0.659)
Ho (0.335, 0.911, 0.669)
Ho (0.665, 0.089, 0.331)
Al (0.500, 0.000, 0.000)
As (0.167, 0.335, 0.334)
As (0.833, 0.665, 0.666)

=====

A relaxed Al3AsI crystal, computed with GGA-PBE.

**Uncorrected formation energy**: 1251 meV per atom
**Volume**: 32.673 Å³ per atom
**Space group**: No. 221
**Calculated total energy**: -2.234 eV per atom

Unit cell a=5.467 b=5.467 c=5.467 alpha=90.00 beta=90.00 gamma=90.00
Element x y z (fractional)
Al (0.000, 0.500, 0.000)
Al (0.500, 0.000, 0.000)
Al (0.000, 0.000, 0.500)
I (0.000, 0.000, 0.000)
As (0.500, 0.500, 0.500)

=====

A relaxed AlAs3I crystal, computed with GGA-PBE.

**Uncorrected formation energy**: 575 meV per atom
**Volume**: 24.323 Å³ per atom
**Space group**: No. 221
**Calculated total energy**: -3.274 eV per atom

Unit cell a=4.954 b=4.954 c=4.954 alpha=90.00 beta=90.00 gamma=90.00
Element x y z (fractional)
As (0.000, 0.500, 0.000)
As (0.000, 0.000, 0.500)
As (0.500, 0.000, 0.000)
Al (0.000, 0.000, 0.000)
I (0.500, 0.500, 0.500)

=====

A relaxed AlAs3I crystal, computed with GGA-PBE.

**Uncorrected formation energy**: 1322 meV per atom
**Volume**: 31.027 Å³ per atom
**Space group**: No. 221
**Calculated total energy**: -2.526 eV per atom

Unit cell a=5.373 b=5.373 c=5.373 alpha=90.00 beta=90.00 gamma=90.00
Element x y z (fractional)
As (0.000, 0.000, 0.500)
As (0.000, 0.500, 0.000)
As (0.500, 0.000, 0.000)
I (0.000, 0.000, 0.000)
Al (0.500, 0.500, 0.500)

=====

A relaxed AlAs2I crystal, computed with GGA-PBE.

**Uncorrected formation energy**: 615 meV per atom
**Volume**: 22.341 Å³ per atom
**Space group**: No. 225
**Calculated total energy**: -3.033 eV per atom

Unit cell a=5.018 b=5.018 c=5.018 alpha=60.00 beta=60.00 gamma=60.00
Element x y z (fractional)
I (0.500, 0.500, 0.500)
As (0.750, 0.750, 0.750)
As (0.250, 0.250, 0.250)
Al (0.000, 0.000, 0.000)